# 1
# PmNdP2 PBE-GGA optimized geometry
data_PmNdP2
_space_group_name_H-M_alt 'P 1'
_space_group_IT_number 1
_space_group_name_Hall 'P 1'
_cell_length_a 3.573
_cell_length_b 5.054
_cell_length_c 5.054
_cell_angle_alpha 90.00
_cell_angle_beta 90.00
_cell_angle_gamma 90.00
loop_
_atom_site_label
_atom_site_type_symbol
_atom_site_fract_x
_atom_site_fract_y
_atom_site_fract_z
P1 P 0.000 0.000 0.500
P2 P 0.000 0.500 0.000
Nd1 Nd 0.500 0.000 0.000
Pm1 Pm 0.500 0.500 0.500
# Spin magnetization (μB/f.u.): 0.0
# ΔE to the lowest computed polymorph (meV per atom): 498
# Fermi-level density of states (states/eV per atom): 0.540
# E_tot (eV/f.u.): -24.557
# SG: No. 123
# Calculated volume (Å³/atom): 22.8
# Formation enthalpy at 0 K (eV per atom): -1.055
# ρ (g/cm3): 6.390



# 2
# Pm5NdP6 PBE-GGA optimized geometry
data_Pm5NdP6
_space_group_name_H-M_alt 'P 1'
_space_group_IT_number 1
_space_group_name_Hall 'P 1'
_cell_length_a 7.167
_cell_length_b 7.169
_cell_length_c 7.167
_cell_angle_alpha 59.99
_cell_angle_beta 80.40
_cell_angle_gamma 70.52
loop_
_atom_site_label
_atom_site_type_symbol
_atom_site_fract_x
_atom_site_fract_y
_atom_site_fract_z
P1 P 0.749 0.084 0.334
P2 P 0.251 0.582 0.334
P3 P 0.251 0.251 0.000
P4 P 0.749 0.749 0.000
P5 P 0.749 0.418 0.666
P6 P 0.251 0.916 0.666
Nd1 Nd 0.000 0.000 0.000
Pm1 Pm 0.500 0.167 0.667
Pm2 Pm 0.000 0.333 0.333
Pm3 Pm 0.500 0.500 0.000
Pm4 Pm 0.000 0.667 0.667
Pm5 Pm 0.500 0.833 0.333
# Spin magnetization (μB/f.u.): 0.0
# Fermi-level density of states (states/eV per atom): 0.075
# E_tot (eV/f.u.): -79.702
# SG: No. 12
# Calculated volume (Å³/atom): 25.1
# Formation enthalpy at 0 K (eV per atom): -1.560
# ρ (g/cm3): 5.828